Entry 1:
# Dy6Ge2Te3S PBE-GGA optimized geometry
# * ΔE_f (raw): -16.4 eV/f.u.
# * total magnetic moment: 0.00 Bohr magnetons per cell
# * DOS at the Fermi energy: 4.13 states/eV/f.u.
# * uncorrected energy: -5.56 eV/atom
data_Dy6Ge2Te3S
_cell_length_a 4.190
_cell_length_b 8.540
_cell_length_c 9.519
_cell_angle_alpha 104.79
_cell_angle_beta 102.71
_cell_angle_gamma 90.00
_symmetry_space_group_name_H-M 'P 1'
_symmetry_Int_Tables_number 1
loop_
_symmetry_equiv_pos_as_xyz
'x,y,z'
loop_
_atom_site_label
_atom_site_fract_x
_atom_site_fract_y
_atom_site_fract_z
Te1 0.835 0.167 0.669
Ge1 0.834 0.671 0.668
Ge2 0.166 0.329 0.332
Te2 0.500 0.500 0.000
S1 0.500 0.000 0.000
Dy1 0.008 0.230 0.017
Dy2 0.992 0.770 0.983
Dy3 0.673 0.564 0.346
Dy4 0.327 0.436 0.654
Dy5 0.340 0.900 0.681
Te3 0.165 0.833 0.331
Dy6 0.660 0.100 0.319

Entry 2:
# Dy6GeTe2S3 PBE-GGA optimized geometry
# * ΔE_f (raw): -19.2 eV/f.u.
# * total magnetic moment: 0.00 Bohr magnetons per cell
# * DOS at the Fermi energy: 4.82 states/eV/f.u.
# * uncorrected energy: -5.84 eV/atom
data_Dy6GeTe2S3
_cell_length_a 7.101
_cell_length_b 7.101
_cell_length_c 7.127
_cell_angle_alpha 99.61
_cell_angle_beta 99.61
_cell_angle_gamma 119.81
_symmetry_space_group_name_H-M 'P 1'
_symmetry_Int_Tables_number 1
loop_
_symmetry_equiv_pos_as_xyz
'x,y,z'
loop_
_atom_site_label
_atom_site_fract_x
_atom_site_fract_y
_atom_site_fract_z
Dy1 0.401 0.091 0.276
Dy2 0.785 0.785 0.277
Ge1 0.000 0.000 0.000
Dy3 0.215 0.215 0.723
S1 0.826 0.174 0.500
S2 0.174 0.826 0.500
Te1 0.666 0.334 0.000
S3 0.500 0.500 0.500
Dy4 0.599 0.909 0.724
Te2 0.334 0.666 0.000
Dy5 0.091 0.401 0.276
Dy6 0.909 0.599 0.724

Entry 3:
# Dy8Ge3Te4S PBE-GGA optimized geometry
# * ΔE_f (raw): -21.3 eV/f.u.
# * total magnetic moment: 0.00 Bohr magnetons per cell
# * DOS at the Fermi energy: 3.78 states/eV/f.u.
# * uncorrected energy: -5.54 eV/atom
data_Dy8Ge3Te4S
_cell_length_a 8.402
_cell_length_b 8.558
_cell_length_c 8.402
_cell_angle_alpha 119.40
_cell_angle_beta 120.00
_cell_angle_gamma 90.00
_symmetry_space_group_name_H-M 'P 1'
_symmetry_Int_Tables_number 1
loop_
_symmetry_equiv_pos_as_xyz
'x,y,z'
loop_
_atom_site_label
_atom_site_fract_x
_atom_site_fract_y
_atom_site_fract_z
Te1 0.000 0.000 0.000
Ge1 0.000 0.500 0.500
Dy1 0.741 0.722 0.481
Dy2 0.241 0.718 0.482
S1 0.000 0.500 0.000
Te2 0.500 0.000 0.000
Ge2 0.500 0.500 0.500
Dy3 0.263 0.282 0.023
Dy4 0.259 0.278 0.519
Te3 0.000 0.000 0.500
Dy5 0.737 0.718 0.977
Te4 0.500 0.000 0.500
Dy6 0.759 0.282 0.023
Dy7 0.759 0.282 0.518
Dy8 0.241 0.718 0.977
Ge3 0.500 0.500 0.000

Entry 4:
# Dy8GeTe4S3 PBE-GGA optimized geometry
# * ΔE_f (raw): -24.9 eV/f.u.
# * total magnetic moment: 0.00 Bohr magnetons per cell
# * DOS at the Fermi energy: 4.91 states/eV/f.u.
# * uncorrected energy: -5.70 eV/atom
data_Dy8GeTe4S3
_cell_length_a 8.208
_cell_length_b 8.467
_cell_length_c 8.209
_cell_angle_alpha 119.00
_cell_angle_beta 120.00
_cell_angle_gamma 90.00
_symmetry_space_group_name_H-M 'P 1'
_symmetry_Int_Tables_number 1
loop_
_symmetry_equiv_pos_as_xyz
'x,y,z'
loop_
_atom_site_label
_atom_site_fract_x
_atom_site_fract_y
_atom_site_fract_z
Dy1 0.762 0.290 0.524
Dy2 0.265 0.295 0.530
Dy3 0.762 0.290 0.028
Te1 0.000 0.000 0.500
S1 0.500 0.500 0.000
S2 0.000 0.500 0.500
Dy4 0.238 0.710 0.476
Dy5 0.238 0.710 0.972
Te2 0.500 0.000 0.000
Ge1 0.000 0.500 0.000
Te3 0.500 0.000 0.500
S3 0.500 0.500 0.500
Dy6 0.266 0.290 0.028
Dy7 0.735 0.705 0.470
Te4 0.000 0.000 0.000
Dy8 0.734 0.710 0.972

Entry 5:
# Dy6Ge3TeS2 PBE-GGA optimized geometry
# * ΔE_f (raw): -16.0 eV/f.u.
# * total magnetic moment: 0.00 Bohr magnetons per cell
# * DOS at the Fermi energy: 3.15 states/eV/f.u.
# * uncorrected energy: -5.74 eV/atom
data_Dy6Ge3TeS2
_cell_length_a 4.121
_cell_length_b 8.291
_cell_length_c 9.219
_cell_angle_alpha 103.18
_cell_angle_beta 102.92
_cell_angle_gamma 90.00
_symmetry_space_group_name_H-M 'P 1'
_symmetry_Int_Tables_number 1
loop_
_symmetry_equiv_pos_as_xyz
'x,y,z'
loop_
_atom_site_label
_atom_site_fract_x
_atom_site_fract_y
_atom_site_fract_z
Ge1 0.164 0.830 0.328
Dy1 0.325 0.915 0.650
Dy2 0.675 0.085 0.350
Ge2 0.836 0.170 0.672
Dy3 0.667 0.585 0.334
Te1 0.500 0.000 0.000
Dy4 0.002 0.270 0.004
Dy5 0.998 0.730 0.996
S1 0.831 0.664 0.662
Ge3 0.500 0.500 0.000
Dy6 0.333 0.415 0.666
S2 0.169 0.336 0.338

Entry 6:
# Dy3Tl3GeS8 PBE-GGA optimized geometry
# * ΔE_f (raw): -17.6 eV/f.u.
# * total magnetic moment: 0.00 Bohr magnetons per cell
# * DOS at the Fermi energy: 1.29 states/eV/f.u.
# * uncorrected energy: -5.08 eV/atom
data_Dy3Tl3GeS8
_cell_length_a 7.863
_cell_length_b 7.864
_cell_length_c 8.873
_cell_angle_alpha 116.31
_cell_angle_beta 90.01
_cell_angle_gamma 120.00
_symmetry_space_group_name_H-M 'P 1'
_symmetry_Int_Tables_number 1
loop_
_symmetry_equiv_pos_as_xyz
'x,y,z'
loop_
_atom_site_label
_atom_site_fract_x
_atom_site_fract_y
_atom_site_fract_z
Dy1 0.000 0.500 0.500
S1 0.267 0.535 0.302
S2 0.213 0.971 0.685
S3 0.213 0.427 0.685
Dy2 0.500 0.000 0.500
Tl1 0.000 0.000 0.000
S4 0.758 0.971 0.685
S5 0.787 0.573 0.315
S6 0.787 0.029 0.315
Tl2 0.500 0.500 0.000
Ge1 0.000 0.000 0.500
Dy3 0.500 0.500 0.500
S7 0.242 0.029 0.315
Tl3 0.000 0.500 0.000
S8 0.733 0.465 0.698

Entry 7:
# DyTlGeS4 PBE-GGA optimized geometry
# * ΔE_f (raw): -7.0 eV/f.u.
# * total magnetic moment: 0.00 Bohr magnetons per cell
# * DOS at the Fermi energy: 0.00 states/eV/f.u.
# * uncorrected energy: -5.01 eV/atom
data_DyTlGeS4
_cell_length_a 6.509
_cell_length_b 6.673
_cell_length_c 8.770
_cell_angle_alpha 90.00
_cell_angle_beta 107.02
_cell_angle_gamma 90.00
_symmetry_space_group_name_H-M 'P 1'
_symmetry_Int_Tables_number 1
loop_
_symmetry_equiv_pos_as_xyz
'x,y,z'
loop_
_atom_site_label
_atom_site_fract_x
_atom_site_fract_y
_atom_site_fract_z
S1 0.566 0.250 0.832
Tl1 0.738 0.750 0.931
S2 0.001 0.506 0.707
S3 0.437 0.750 0.579
Dy1 0.774 0.750 0.447
S4 0.001 0.994 0.707
Ge1 0.230 0.750 0.328
S5 0.563 0.250 0.421
S6 0.999 0.494 0.293
S7 0.434 0.750 0.168
Dy2 0.226 0.250 0.553
Ge2 0.770 0.250 0.672
Tl2 0.262 0.250 0.069
S8 0.999 0.006 0.293

Entry 8:
# DyYGeS PBE-GGA optimized geometry
# * ΔE_f (raw): -5.9 eV/f.u.
# * total magnetic moment: 0.00 Bohr magnetons per cell
# * DOS at the Fermi energy: 1.39 states/eV/f.u.
# * uncorrected energy: -6.42 eV/atom
data_DyYGeS
_cell_length_a 4.044
_cell_length_b 4.044
_cell_length_c 7.043
_cell_angle_alpha 73.31
_cell_angle_beta 73.31
_cell_angle_gamma 60.00
_symmetry_space_group_name_H-M 'P 1'
_symmetry_Int_Tables_number 1
loop_
_symmetry_equiv_pos_as_xyz
'x,y,z'
loop_
_atom_site_label
_atom_site_fract_x
_atom_site_fract_y
_atom_site_fract_z
S1 0.444 0.444 0.667
Dy1 0.194 0.194 0.417
Ge1 0.944 0.944 0.169
Y1 0.694 0.694 0.918

Entry 9:
# Dy4GeSb2 PBE-GGA optimized geometry
# * ΔE_f (raw): -4.9 eV/f.u.
# * total magnetic moment: 0.00 Bohr magnetons per cell
# * DOS at the Fermi energy: 5.83 states/eV/f.u.
# * uncorrected energy: -5.17 eV/atom
data_Dy4GeSb2
_cell_length_a 6.612
_cell_length_b 6.513
_cell_length_c 9.550
_cell_angle_alpha 90.00
_cell_angle_beta 107.66
_cell_angle_gamma 90.00
_symmetry_space_group_name_H-M 'P 1'
_symmetry_Int_Tables_number 1
loop_
_symmetry_equiv_pos_as_xyz
'x,y,z'
loop_
_atom_site_label
_atom_site_fract_x
_atom_site_fract_y
_atom_site_fract_z
Dy1 0.511 0.501 0.760
Dy2 0.878 0.250 0.548
Dy3 0.511 0.999 0.760
Dy4 0.489 0.001 0.240
Dy5 0.122 0.750 0.452
Sb1 0.303 0.250 0.464
Dy6 0.489 0.499 0.240
Ge1 0.130 0.750 0.160
Sb2 0.298 0.250 0.952
Sb3 0.702 0.750 0.048
Ge2 0.870 0.250 0.840
Dy7 0.053 0.750 0.850
Dy8 0.947 0.250 0.150
Sb4 0.697 0.750 0.536

Entry 10:
# Dy3GeSb PBE-GGA optimized geometry
# * ΔE_f (raw): -3.2 eV/f.u.
# * total magnetic moment: 0.00 Bohr magnetons per cell
# * DOS at the Fermi energy: 4.26 states/eV/f.u.
# * uncorrected energy: -5.15 eV/atom
data_Dy3GeSb
_cell_length_a 7.298
_cell_length_b 7.303
_cell_length_c 7.986
_cell_angle_alpha 62.83
_cell_angle_beta 62.84
_cell_angle_gamma 60.07
_symmetry_space_group_name_H-M 'P 1'
_symmetry_Int_Tables_number 1
loop_
_symmetry_equiv_pos_as_xyz
'x,y,z'
loop_
_atom_site_label
_atom_site_fract_x
_atom_site_fract_y
_atom_site_fract_z
Sb1 0.640 0.640 0.080
Dy1 0.589 0.976 0.239
Dy2 0.975 0.196 0.239
Dy3 0.025 0.804 0.761
Ge1 0.833 0.833 0.501
Dy4 0.411 0.024 0.761
Ge2 0.167 0.167 0.499
Dy5 0.804 0.410 0.761
Sb2 0.360 0.360 0.920
Dy6 0.196 0.590 0.239